Compound: Zr4BiRh
Source: Alexandria via LeMat-Bulk
Functional: PBE
Structure: relaxed

Lattice parameters (Å, degrees): 6.979 5.639 9.040 111.92 112.71 90.00
Positions (direct):
Zr 0.087 0.007 0.377
Zr 0.675 0.541 0.237
Zr 0.710 0.493 0.623
Zr 0.438 0.959 0.763
Zr 0.325 0.459 0.763
Zr 0.562 0.041 0.237
Zr 0.290 0.507 0.377
Zr 0.913 0.993 0.623
Bi 0.213 0.250 0.000
Bi 0.787 0.750 0.000
Rh 0.500 0.000 0.500
Rh 0.000 0.500 0.500

Properties
* density of states at the Fermi level: 0.78 states/eV/atom
* electronic total energy: -7.746 eV per atom
* total magnetization: 0.0 μB per cell